A plane-wave DFT calculation with PBE was carried out for NdBePd after structural relaxation.

Results
* DFT total energy: -5.0282 eV per atom
* V: 19.79 Å³ per atom
* energy of formation: -1.40 eV per formula unit
* space-group type: P-6m2 (187)
* relative energy among the computed polymorphs: 0.0 kJ per mole of atoms

```
3
Lattice="4.008 0.000 0.000 0.000 4.136 0.000 0.000 -2.068 3.582" Properties=species:S:1:pos:R:3 pbc="T T T"
Be 0.667 2.068 1.194
Nd 2.672 0.000 2.388
Pd 0.669 0.000 0.000
```

---

A plane-wave DFT calculation with PBE was carried out for PmNdBePd after structural relaxation.

Results
* DFT total energy: -4.8459 eV per atom
* V: 23.06 Å³ per atom
* energy of formation: -0.95 eV per formula unit
* space-group type: F-43m (216)

```
4
Lattice="5.072 0.000 0.000 2.536 4.392 0.000 2.536 1.464 4.141" Properties=species:S:1:pos:R:3 pbc="T T T"
Be 5.072 2.928 2.070
Nd 2.536 1.464 1.035
Pd 0.000 0.000 0.000
Pm 7.607 4.392 3.106
```

---

A plane-wave DFT calculation with PBE was carried out for NdBe2Pd2Pt after structural relaxation.

Results
* DFT total energy: -5.3329 eV per atom
* V: 17.09 Å³ per atom
* energy of formation: -3.35 eV per formula unit
* space-group type: P4/mmm (123)

```
6
Lattice="-1.884 3.149 2.162 -1.607 -2.840 2.737 4.600 0.524 3.244" Properties=species:S:1:pos:R:3 pbc="T T T"
Nd 2.300 0.262 1.622
Be -0.942 1.575 1.081
Be -0.803 -1.420 1.369
Pd 1.724 0.550 4.896
Pd -0.614 0.283 3.248
Pt 0.000 0.000 0.000
```